Record 1
5
Lattice="4.7708 0.0000 0.0000 0.0000 4.7708 0.0000 0.0000 0.0000 3.3869" Properties=species:S:1:pos:R:3 comment="Al2CoAuN PBE-GGA relaxed" crystal_system=tetragonal e_form_raw_ev_per_atom=0.163 pbc="T T T"
Al 0.0000 2.3854 0.0000
Al 2.3854 0.0000 0.0000
Co 0.0000 0.0000 0.0000
Au 2.3854 2.3854 1.6934
N 0.0000 0.0000 1.6934

Record 2
5
Lattice="4.9017 0.0000 0.0000 0.0000 4.9017 0.0000 0.0000 0.0000 4.4243" Properties=species:S:1:pos:R:3 comment="NaAl2CoAu PBE-GGA relaxed" crystal_system=tetragonal dft_energy_ev_per_atom=-2.4411 pbc="T T T"
Na 0.0000 0.0000 0.0000
Al 0.0000 2.4508 0.0000
Al 2.4508 0.0000 0.0000
Co 0.0000 0.0000 2.2121
Au 2.4508 2.4508 2.2121

Record 3
8
Lattice="2.0784 1.2000 7.0384 -2.0784 1.2000 7.0384 0.0000 -2.4000 7.0384" Properties=species:S:1:pos:R:3 comment="Al4CoNi2Au PBE-GGA relaxed" crystal_system=trigonal dft_energy_ev_per_atom=-5.1289 pbc="T T T"
Al 0.0000 0.0000 2.4401
Al 0.0000 0.0000 7.8170
Al 0.0000 0.0000 13.2982
Al 0.0000 0.0000 18.6752
Co 0.0000 0.0000 0.0000
Ni 0.0000 0.0000 5.3960
Ni 0.0000 0.0000 15.7192
Au 0.0000 0.0000 10.5576

Record 4
5
Lattice="4.4667 0.0000 0.0000 0.0000 4.4667 0.0000 0.0000 0.0000 4.2024" Properties=species:S:1:pos:R:3 comment="AlCoOs2Au PBE-GGA relaxed" crystal_system=tetragonal dft_energy_ev_per_atom=-5.8439 pbc="T T T"
Al 0.0000 0.0000 0.0000
Co 0.0000 0.0000 2.1012
Os 0.0000 2.2334 0.0000
Os 2.2334 0.0000 0.0000
Au 2.2334 2.2334 2.1012

no.,total magnetic moment (μB/atom)
1,0.000
2,0.286
3,0.000
4,0.542